# V2Bi4O11

A relaxed structure of V2Bi4O11 (PBE+U, Alexandria).

Output
total magnetic moment = 0.00 Bohr magnetons per cell
distance to the lowest polymorph of the same formula = 1.23 eV/f.u.
density = 6004 kg/m³

```
data_V2Bi4O11
_chemical_formula_sum 'V2 Bi4 O11'
_cell_length_a 5.734
_cell_length_b 6.784
_cell_length_c 8.582
_cell_angle_alpha 82.29
_cell_angle_beta 78.90
_cell_angle_gamma 70.55
_symmetry_space_group_name_H-M 'P 1'
_symmetry_Int_Tables_number 1
loop_
_symmetry_equiv_pos_as_xyz
'x,y,z'
loop_
_atom_site_label
_atom_site_type_symbol
_atom_site_fract_x
_atom_site_fract_y
_atom_site_fract_z
V1 V 0.000 0.000 0.000
V2 V 0.096 0.745 0.556
Bi1 Bi 0.120 0.480 0.008
Bi2 Bi 0.489 0.856 0.206
Bi3 Bi 0.536 0.894 0.685
Bi4 Bi 0.583 0.300 0.336
O1 O 0.093 0.200 0.883
O2 O 0.264 0.663 0.365
O3 O 0.272 0.780 0.013
O4 O 0.315 0.677 0.689
O5 O 0.373 0.278 0.160
O6 O 0.486 0.986 0.441
O7 O 0.780 0.537 0.187
O8 O 0.786 0.907 0.943
O9 O 0.871 0.619 0.633
O10 O 0.897 0.071 0.195
O11 O 0.922 0.002 0.560
```